An optimized crystal structure of CdTc2Ru. Source: the Alexandria database, functional GGA-PBEsol.

Properties
For the energy of formation from the pure elements, the calculation gives 318 meV per atom. The magnetic moment comes out at 0.00 μB/cell.

abc: 2.7399 3.8680 5.6935
angles: 90.00 90.00 90.00
Closest atoms and distances in Å follow each position.
Fractional positions:
Cd 0.0000 0.0000 0.0000  2 Cd 2.74, 4 Ru 2.84, 6 Tc 2.84-2.89
Tc 0.0000 0.0000 0.5003  6 Tc 2.65-2.74, 4 Ru 2.69, 2 Cd 2.84-2.85
Tc 0.5000 0.5000 0.7086  1 Ru 2.47, 6 Tc 2.65-2.74
Ru 0.5000 0.5000 0.2752  5 Tc 2.47-2.69, 2 Ru 2.74